A relaxed structure of BaNpFeO6, computed with PBE+U.

The calculation puts the spin magnetization at 1.00 Bohr magnetons per cell. Its electronic total energy is -70.2 eV for the cell shown. The space group is C2 (5).

Cell lengths 5.318, 5.315, 5.880 Å; angles 90.04, 90.02, 60.02 degrees
Last column: magnetic moment on the atom in μB.
Fractional positions:
O 0.382 0.626 0.310  -0.02
O 0.994 0.385 0.308  -0.02
Ba 0.999 0.001 0.000  0.00
O 0.994 0.621 0.692  -0.02
O 0.382 0.992 0.690  -0.02
O 0.626 0.381 0.688  -0.02
Fe 0.664 0.668 0.500  1.13
Np 0.332 0.334 0.500  0.01
O 0.627 0.992 0.312  -0.02